No. 1
The following is a DFT calculation (GGA-PBEsol) of a relaxed structure of KFe2S2.

Output
Space-group type = No. 139
Energy relative to the elements, uncorrected = -3.9 eV/f.u.
Total DFT energy (no corrections) = -6.349 eV per atom

a b c (Å): 6.747 6.747 6.747
angles (deg): 148.83 148.83 44.66
Fractional positions:
K 0.000 0.000 0.000
Fe 0.250 0.750 0.500
Fe 0.750 0.250 0.500
S 0.343 0.343 0.000
S 0.657 0.657 0.000

---

No. 2
The following is a DFT calculation (GGA-PBEsol) of a relaxed structure of KFeS2.

Output
Space-group type = No. 122
Energy relative to the elements, uncorrected = -2.8 eV/f.u.
Total DFT energy (no corrections) = -5.412 eV per atom

a b c (Å): 6.080 6.080 6.080
angles (deg): 113.25 113.25 102.15
Fractional positions:
K 0.000 0.000 0.000
K 0.750 0.250 0.500
Fe 0.250 0.750 0.500
Fe 0.500 0.500 0.000
S 0.252 0.625 0.127
S 0.375 0.502 0.627
S 0.498 0.125 0.873
S 0.875 0.748 0.373

---

No. 3
The following is a DFT calculation (GGA-PBEsol) of a relaxed structure of K2Fe2SeS3.

Output
Space-group type = No. 1
Energy relative to the elements, uncorrected = -6.4 eV/f.u.
Total DFT energy (no corrections) = -5.452 eV per atom

a b c (Å): 5.222 6.590 6.601
angles (deg): 116.68 102.88 100.21
Fractional positions:
K 0.000 0.000 0.000
K 0.486 0.300 0.735
Fe 0.482 0.641 0.363
Fe 0.988 0.638 0.364
Se 0.832 0.964 0.444
S 0.127 0.547 0.058
S 0.344 0.731 0.670
S 0.644 0.344 0.286

---

No. 4
The following is a DFT calculation (GGA-PBEsol) of a relaxed structure of K2FeSb.

Output
Space-group type = No. 44
Energy relative to the elements, uncorrected = 0.9 eV/f.u.
Total DFT energy (no corrections) = -3.716 eV per atom

a b c (Å): 6.218 6.218 6.218
angles (deg): 135.55 122.82 75.17
Fractional positions:
K 0.000 0.000 0.000
K 0.688 0.188 0.500
Fe 0.371 0.371 0.000
Sb 0.294 0.794 0.500

---

No. 5
The following is a DFT calculation (GGA-PBEsol) of a relaxed structure of KFeSb2.

Output
Space-group type = No. 99
Energy relative to the elements, uncorrected = 0.7 eV/f.u.
Total DFT energy (no corrections) = -4.616 eV per atom

a b c (Å): 3.344 3.344 9.600
angles (deg): 90.00 90.00 90.00
Fractional positions:
K 0.000 0.000 0.000
Fe 0.500 0.500 0.529
Sb 0.000 0.000 0.647
Sb 0.500 0.500 0.267

---

No. 6
The following is a DFT calculation (GGA-PBEsol) of a relaxed structure of KFeSb.

Output
Space-group type = No. 44
Energy relative to the elements, uncorrected = 0.9 eV/f.u.
Total DFT energy (no corrections) = -4.601 eV per atom

a b c (Å): 6.606 6.606 6.606
angles (deg): 151.72 146.75 44.19
Fractional positions:
K 0.000 0.000 0.000
Fe 0.277 0.277 0.000
Sb 0.720 0.720 0.000